[1]
Material: InGaCl2
Method: DFT, PBE
State: relaxed

Results
**Energy above the most stable polymorph in this dataset**: 174.6 meV/atom

Cell and atoms, written as CIF:
```
data_InGaCl2
_space_group_name_H-M_alt 'R -3 m'
_space_group_IT_number 166
_space_group_name_Hall '-R 3 2"'
_cell_length_a 4.4765
_cell_length_b 4.4765
_cell_length_c 26.8922
_cell_angle_alpha 90.00
_cell_angle_beta 90.00
_cell_angle_gamma 120.00
loop_
_atom_site_label
_atom_site_type_symbol
_atom_site_fract_x
_atom_site_fract_y
_atom_site_fract_z
In1 In 0.0000 0.0000 0.0000
Ga1 Ga 0.0000 0.0000 0.5000
Cl1 Cl 0.0000 0.0000 0.4027
```


[2]
Material: InGaCl4
Method: DFT, PBE
State: relaxed

Results
**DOS(E_F)**: 0.000 states/eV/atom

Cell and atoms, written as CIF:
```
data_InGaCl4
_space_group_name_H-M_alt 'C 1 2/c 1'
_space_group_IT_number 15
_cell_length_a 10.520
_cell_length_b 7.903
_cell_length_c 10.425
_cell_angle_alpha 90.00
_cell_angle_beta 100.19
_cell_angle_gamma 90.00
loop_
_space_group_symop_operation_xyz
'x,y,z'
'-x,-y,-z'
'-x,y,-z+1/2'
'x,-y,z+1/2'
'x+1/2,y+1/2,z'
'-x+1/2,-y+1/2,-z'
'-x+1/2,y+1/2,-z+1/2'
'x+1/2,-y+1/2,z+1/2'
loop_
_atom_site_label
_atom_site_type_symbol
_atom_site_fract_x
_atom_site_fract_y
_atom_site_fract_z
In1 In 0.250 0.250 0.000
Ga1 Ga 0.000 0.152 0.250
Cl1 Cl 0.035 0.307 0.428
Cl2 Cl 0.171 0.008 0.740
```


[3]
Material: In3Ga2Cl8
Method: DFT, PBE
State: relaxed

Results
**DOS(E_F)**: 0.270 states/eV/atom

Cell and atoms, written as CIF:
```
data_In3Ga2Cl8
_space_group_name_H-M_alt 'R -3 m'
_space_group_IT_number 166
_space_group_name_Hall '-R 3 2"'
_cell_length_a 7.2971
_cell_length_b 7.2971
_cell_length_c 26.2775
_cell_angle_alpha 90.00
_cell_angle_beta 90.00
_cell_angle_gamma 120.00
loop_
_atom_site_label
_atom_site_type_symbol
_atom_site_fract_x
_atom_site_fract_y
_atom_site_fract_z
In1 In 0.0000 0.0000 0.0000
In2 In 0.0000 0.0000 0.2010
Ga1 Ga 0.0000 0.0000 0.4034
Cl1 Cl 0.0000 0.0000 0.3167
Cl2 Cl 0.0052 0.5026 0.7677
```


[4]
Material: InGa3Cl9
Method: DFT, PBE
State: relaxed

Cell and atoms, written as CIF:
```
data_InGa3Cl9
_space_group_name_H-M_alt 'C 1 c 1'
_space_group_IT_number 9
_cell_length_a 18.819
_cell_length_b 9.783
_cell_length_c 13.290
_cell_angle_alpha 90.00
_cell_angle_beta 129.81
_cell_angle_gamma 90.00
loop_
_space_group_symop_operation_xyz
'x,y,z'
'x,-y,z+1/2'
'x+1/2,y+1/2,z'
'x+1/2,-y+1/2,z+1/2'
loop_
_atom_site_label
_atom_site_type_symbol
_atom_site_fract_x
_atom_site_fract_y
_atom_site_fract_z
In1 In 0.000 0.024 0.000
Ga1 Ga 0.011 0.329 0.235
Ga2 Ga 0.193 0.335 0.820
Ga3 Ga 0.327 0.110 0.131
Cl1 Cl 0.024 0.111 0.281
Cl2 Cl 0.077 0.262 0.613
Cl3 Cl 0.127 0.453 0.393
Cl4 Cl 0.218 0.141 0.142
Cl5 Cl 0.272 0.090 0.926
Cl6 Cl 0.299 0.447 0.821
Cl7 Cl 0.383 0.109 0.718
Cl8 Cl 0.439 0.254 0.240
Cl9 Cl 0.476 0.140 0.547
```


[5]
Material: In2GaCl4
Method: DFT, PBE
State: relaxed

Results
**DOS(E_F)**: 0.246 states/eV/atom

Cell and atoms, written as CIF:
```
data_In2GaCl4
_space_group_name_H-M_alt 'I 4/m m m'
_space_group_IT_number 139
_space_group_name_Hall '-I 4 2'
_cell_length_a 5.061
_cell_length_b 5.061
_cell_length_c 15.995
_cell_angle_alpha 90.00
_cell_angle_beta 90.00
_cell_angle_gamma 90.00
loop_
_atom_site_label
_atom_site_type_symbol
_atom_site_fract_x
_atom_site_fract_y
_atom_site_fract_z
In1 In 0.000 0.000 0.147
Ga1 Ga 0.000 0.000 0.500
Cl1 Cl 0.000 0.000 0.335
Cl2 Cl 0.000 0.500 0.000
```


[6]
Material: In3Ga5Cl12
Method: DFT, PBE
State: relaxed

Results
**DOS(E_F)**: 0.262 states/eV/atom

Cell and atoms, written as CIF:
```
data_In3Ga5Cl12
_space_group_name_H-M_alt 'I a -3 d'
_space_group_IT_number 230
_space_group_name_Hall '-I 4bd 2c 3'
_cell_length_a 17.196
_cell_length_b 17.196
_cell_length_c 17.196
_cell_angle_alpha 90.00
_cell_angle_beta 90.00
_cell_angle_gamma 90.00
loop_
_atom_site_label
_atom_site_type_symbol
_atom_site_fract_x
_atom_site_fract_y
_atom_site_fract_z
In1 In 0.000 0.250 0.125
Ga1 Ga 0.000 0.000 0.000
Ga2 Ga 0.000 0.250 0.375
Cl1 Cl 0.041 0.056 0.660
```


[7]
Material: KInGa2Cl4
Method: DFT, PBE
State: relaxed

Results
**DOS(E_F)**: 0.000 states/eV/atom

Cell and atoms, written as CIF:
```
data_KInGa2Cl4
_space_group_name_H-M_alt 'P 1 2/m 1'
_space_group_IT_number 10
_cell_length_a 7.641
_cell_length_b 4.422
_cell_length_c 7.676
_cell_angle_alpha 90.00
_cell_angle_beta 109.43
_cell_angle_gamma 90.00
loop_
_space_group_symop_operation_xyz
'x,y,z'
'-x,-y,-z'
'-x,y,-z'
'x,-y,z'
loop_
_atom_site_label
_atom_site_type_symbol
_atom_site_fract_x
_atom_site_fract_y
_atom_site_fract_z
K1 K 0.000 0.000 0.000
In1 In 0.000 0.500 0.500
Ga1 Ga 0.500 0.000 0.500
Ga2 Ga 0.500 0.500 0.000
Cl1 Cl 0.261 0.500 0.251
Cl2 Cl 0.264 0.000 0.758
```


[8]
Material: K2InGaCl4
Method: DFT, PBE
State: relaxed

Results
**DOS(E_F)**: 0.000 states/eV/atom

Cell and atoms, written as CIF:
```
data_K2InGaCl4
_space_group_name_H-M_alt 'P 1 2/m 1'
_space_group_IT_number 10
_cell_length_a 7.743
_cell_length_b 4.490
_cell_length_c 7.780
_cell_angle_alpha 90.00
_cell_angle_beta 109.53
_cell_angle_gamma 90.00
loop_
_space_group_symop_operation_xyz
'x,y,z'
'-x,-y,-z'
'-x,y,-z'
'x,-y,z'
loop_
_atom_site_label
_atom_site_type_symbol
_atom_site_fract_x
_atom_site_fract_y
_atom_site_fract_z
K1 K 0.000 0.000 0.000
K2 K 0.000 0.500 0.500
In1 In 0.500 0.000 0.500
Ga1 Ga 0.500 0.500 0.000
Cl1 Cl 0.248 0.500 0.242
Cl2 Cl 0.254 0.000 0.759
```


Number 1: formation energy (no corrections) -0.574 eV/atom, total magnetic moment 0.000 μB per cell. Number 2: formation energy (no corrections) -1.073 eV/atom, total magnetic moment 0.000 μB per cell. Number 3: formation energy (no corrections) -0.893 eV/atom, total magnetic moment 0.000 μB per cell. Number 4: formation energy (no corrections) -0.983 eV/atom, total magnetic moment 4.017 μB per cell. Number 5: formation energy (no corrections) -0.813 eV/atom, total magnetic moment 0.000 μB per cell. Number 6: formation energy (no corrections) -0.825 eV/atom, total magnetic moment 0.000 μB per cell. Number 7: formation energy (no corrections) -1.023 eV/atom, total magnetic moment 0.000 μB per cell. Number 8: formation energy (no corrections) -1.339 eV/atom, total magnetic moment 0.000 μB per cell.